# ScZnNi | the Open Quantum Materials Database | PBE | optimized geometry
# ΔE_f = -1.42 eV/f.u.
data_ScZnNi
_cell_length_a 6.3078
_cell_length_b 3.8855
_cell_length_c 7.6231
_cell_angle_alpha 90.00
_cell_angle_beta 90.00
_cell_angle_gamma 90.00
_symmetry_space_group_name_H-M 'P n m a'
_symmetry_Int_Tables_number 62
_symmetry_space_group_name_Hall '-P 2ac 2n'
loop_
_atom_site_label
_atom_site_type_symbol
_atom_site_fract_x
_atom_site_fract_y
_atom_site_fract_z
_atom_site_occupancy
Sc1 Sc 0.0391 0.2500 0.1818 1
Zn1 Zn 0.1426 0.2500 0.5586 1
Ni1 Ni 0.2500 0.2500 0.8716 1


# ZrScZnNi | the Open Quantum Materials Database | PBE | optimized geometry
# ΔE_f = -0.31 eV/f.u.
data_ZrScZnNi
_cell_length_a 6.4355
_cell_length_b 6.4355
_cell_length_c 6.4355
_cell_angle_alpha 90.00
_cell_angle_beta 90.00
_cell_angle_gamma 90.00
_symmetry_space_group_name_H-M 'F -4 3 m'
_symmetry_Int_Tables_number 216
_symmetry_space_group_name_Hall 'F -4 2 3'
loop_
_atom_site_label
_atom_site_type_symbol
_atom_site_fract_x
_atom_site_fract_y
_atom_site_fract_z
_atom_site_occupancy
Zr1 Zr 0.0000 0.0000 0.0000 1
Sc1 Sc 0.2500 0.2500 0.2500 1
Zn1 Zn 0.0000 0.0000 0.5000 1
Ni1 Ni 0.2500 0.2500 0.7500 1


# Ni3Se | the Open Quantum Materials Database | PBE | optimized geometry
# energy above the most stable polymorph in this dataset = 0 meV/atom
data_Ni3Se
_cell_length_a 3.6200
_cell_length_b 3.6200
_cell_length_c 7.3720
_cell_angle_alpha 90.00
_cell_angle_beta 90.00
_cell_angle_gamma 90.00
_symmetry_space_group_name_H-M 'I 4/m m m'
_symmetry_Int_Tables_number 139
_symmetry_space_group_name_Hall '-I 4 2'
loop_
_atom_site_label
_atom_site_type_symbol
_atom_site_fract_x
_atom_site_fract_y
_atom_site_fract_z
_atom_site_occupancy
Ni1 Ni 0.0000 0.0000 0.0000 1
Ni2 Ni 0.0000 0.5000 0.2500 1
Se1 Se 0.0000 0.0000 0.5000 1


# Ni2Se | the Open Quantum Materials Database | PBE | optimized geometry
# final energy = -28.1 eV per cell
data_Ni2Se
_cell_length_a 5.0243
_cell_length_b 5.0243
_cell_length_c 3.8128
_cell_angle_alpha 90.00
_cell_angle_beta 90.00
_cell_angle_gamma 90.00
_symmetry_space_group_name_H-M 'P 42/m n m'
_symmetry_Int_Tables_number 136
_symmetry_space_group_name_Hall '-P 4n 2n'
loop_
_atom_site_label
_atom_site_type_symbol
_atom_site_fract_x
_atom_site_fract_y
_atom_site_fract_z
_atom_site_occupancy
Ni1 Ni 0.1779 0.1779 0.0000 1
Se1 Se 0.0000 0.0000 0.5000 1